The following is a DFT calculation (PBE) of NaTcO3 after structural relaxation.

```
NaTcO3
1.0
2.883 1.664 4.723
-2.883 1.664 4.723
0.000 -3.329 4.723
Na Tc O
2 2 6
Direct
0.000 0.000 0.000
0.500 0.500 0.500
0.250 0.250 0.250
0.750 0.750 0.750
0.054 0.750 0.446
0.250 0.554 0.946
0.446 0.054 0.750
0.554 0.946 0.250
0.750 0.446 0.054
0.946 0.250 0.554
```

Values from the calculation:
Spin magnetization   0.00 μB/f.u.
Total DFT energy (no corrections)   -32.68 eV/f.u.
Calculated volume   13.60 A^3/atom

***

The following is a DFT calculation (PBE) of Li2ScGa2AgAu2 after structural relaxation.

```
Li2ScGa2AgAu2
1.0
4.579 0.000 0.000
0.000 4.579 0.000
0.000 0.000 6.371
Li Sc Ga Ag Au
2 1 2 1 2
Direct
0.000 0.500 0.213
0.500 0.000 0.787
0.000 0.000 0.500
0.000 0.000 0.000
0.500 0.500 0.500
0.500 0.500 0.000
0.000 0.500 0.738
0.500 0.000 0.262
```

Values from the calculation:
Spin magnetization   0.00 μB/f.u.
Total DFT energy (no corrections)   -29.17 eV/f.u.
Calculated volume   16.69 A^3/atom

***

The following is a DFT calculation (PBE) of Gd3YB2Pb2 after structural relaxation.

```
Gd3YB2Pb2
1.0
3.730 0.000 0.000
-1.865 3.231 0.000
0.000 0.000 16.852
Gd Y B Pb
3 1 2 2
Direct
0.000 0.000 0.000
0.000 0.000 0.322
0.333 0.667 0.502
0.333 0.667 0.822
0.667 0.333 0.412
0.667 0.333 0.911
0.000 0.000 0.663
0.333 0.667 0.161
```

Values from the calculation:
Spin magnetization   1.07 μB/f.u.
Total DFT energy (no corrections)   -42.64 eV/f.u.
Calculated volume   25.39 A^3/atom

***

The following is a DFT calculation (PBE) of CdTePtO after structural relaxation.

```
CdTePtO
1.0
3.982 0.000 0.000
0.000 3.982 0.000
0.000 0.000 10.507
Cd Te Pt O
2 2 2 2
Direct
0.250 0.250 0.086
0.750 0.750 0.914
0.250 0.250 0.367
0.750 0.750 0.633
0.250 0.250 0.621
0.750 0.750 0.379
0.250 0.750 0.000
0.750 0.250 0.000
```

Values from the calculation:
Spin magnetization   0.01 μB/f.u.
Total DFT energy (no corrections)   -16.25 eV/f.u.
Calculated volume   20.83 A^3/atom
Excess energy over the best structure of this formula in the dataset   197 meV per atom

***

The following is a DFT calculation (PBE) of Sm2Dy2C3 after structural relaxation.

```
Sm2Dy2C3
1.0
6.611 -1.884 0.000
6.611 1.884 0.000
-2.606 0.000 5.561
Sm Dy C
2 2 3
Direct
0.136 0.136 0.493
0.864 0.864 0.507
0.366 0.366 0.057
0.634 0.634 0.943
0.220 0.220 0.199
0.500 0.500 0.500
0.780 0.780 0.801
```

Values from the calculation:
Spin magnetization   0.00 μB/f.u.
Total DFT energy (no corrections)   -47.29 eV/f.u.
Calculated volume   19.79 A^3/atom

***

The following is a DFT calculation (PBE) of ZrAuNO after structural relaxation.

```
ZrAuNO
1.0
5.888 0.000 0.000
0.000 7.251 0.000
0.000 0.000 5.744
Zr Au N O
4 4 4 4
Direct
0.054 0.147 0.000
0.446 0.147 0.500
0.554 0.853 0.000
0.946 0.853 0.500
0.021 0.685 0.005
0.479 0.685 0.505
0.521 0.315 0.005
0.979 0.315 0.505
0.128 0.075 0.650
0.372 0.075 0.150
0.628 0.925 0.650
0.872 0.925 0.150
0.077 0.613 0.586
0.423 0.613 0.086
0.577 0.387 0.586
0.923 0.387 0.086
```

Values from the calculation:
Spin magnetization   0.00 μB/f.u.
Total DFT energy (no corrections)   -29.13 eV/f.u.
Calculated volume   15.33 A^3/atom
Excess energy over the best structure of this formula in the dataset   386 meV per atom

***

The following is a DFT calculation (PBE) of SrPaAu after structural relaxation.

```
SrPaAu
1.0
0.000 3.630 3.630
3.630 0.000 3.630
3.630 3.630 0.000
Sr Pa Au
1 1 1
Direct
0.000 0.000 0.000
0.500 0.500 0.500
0.750 0.750 0.750
```

Values from the calculation:
Spin magnetization   1.63 μB/f.u.
Total DFT energy (no corrections)   -13.53 eV/f.u.
Calculated volume   31.88 A^3/atom
Excess energy over the best structure of this formula in the dataset   0 meV per atom

***

The following is a DFT calculation (PBE) of SmPO4 after structural relaxation.

```
SmPO4
1.0
2.689 -3.931 0.000
2.689 3.931 0.000
0.000 0.000 7.518
Sm P O
2 2 8
Direct
0.000 0.000 0.000
0.000 0.000 0.500
0.385 0.615 0.750
0.615 0.385 0.250
0.259 0.264 0.750
0.264 0.259 0.250
0.286 0.714 0.575
0.286 0.714 0.925
0.714 0.286 0.075
0.714 0.286 0.425
0.736 0.741 0.750
0.741 0.736 0.250
```

Values from the calculation:
Spin magnetization   0.00 μB/f.u.
Total DFT energy (no corrections)   -47.36 eV/f.u.
Calculated volume   13.24 A^3/atom

***

The following is a DFT calculation (PBE) of NaSrNbPd after structural relaxation.

```
NaSrNbPd
1.0
0.000 3.499 3.499
3.499 0.000 3.499
3.499 3.499 0.000
Na Sr Nb Pd
1 1 1 1
Direct
0.000 0.000 0.000
0.750 0.750 0.750
0.500 0.500 0.500
0.250 0.250 0.250
```

Values from the calculation:
Spin magnetization   0.01 μB/f.u.
Total DFT energy (no corrections)   -15.83 eV/f.u.
Calculated volume   21.42 A^3/atom
Excess energy over the best structure of this formula in the dataset   62 meV per atom

***

The following is a DFT calculation (PBE) of Li2Co after structural relaxation.

```
Li2Co
1.0
0.000 3.246 3.246
3.246 0.000 3.246
3.246 3.246 0.000
Li Co
4 2
Direct
0.000 0.000 0.000
0.000 0.000 0.500
0.000 0.500 0.000
0.500 0.000 0.000
0.375 0.375 0.375
0.625 0.625 0.625
```

Values from the calculation:
Spin magnetization   1.30 μB/f.u.
Total DFT energy (no corrections)   -9.58 eV/f.u.
Calculated volume   11.40 A^3/atom

***

The following is a DFT calculation (PBE) of PrGe2Pt after structural relaxation.

```
PrGe2Pt
1.0
-2.234 4.450 8.339
2.234 -4.450 8.339
2.234 4.450 -8.339
Pr Ge Pt
4 8 4
Direct
0.203 0.203 0.000
0.241 0.000 0.241
0.759 0.000 0.759
0.797 0.797 0.000
0.074 0.574 0.500
0.152 0.802 0.350
0.425 0.425 0.000
0.453 0.802 0.650
0.547 0.198 0.350
0.575 0.575 0.000
0.848 0.198 0.650
0.926 0.426 0.500
0.103 0.351 0.752
0.402 0.649 0.752
0.598 0.351 0.248
0.897 0.649 0.248
```

Values from the calculation:
Spin magnetization   0.00 μB/f.u.
Total DFT energy (no corrections)   -23.66 eV/f.u.
Calculated volume   20.73 A^3/atom

***

The following is a DFT calculation (PBE) of Ba2Os after structural relaxation.

```
Ba2Os
1.0
0.000 4.628 4.628
4.628 0.000 4.628
4.628 4.628 0.000
Ba Os
4 2
Direct
0.000 0.000 0.000
0.000 0.000 0.500
0.000 0.500 0.000
0.500 0.000 0.000
0.375 0.375 0.375
0.625 0.625 0.625
```

Values from the calculation:
Spin magnetization   1.06 μB/f.u.
Total DFT energy (no corrections)   -9.46 eV/f.u.
Calculated volume   33.05 A^3/atom
Excess energy over the best structure of this formula in the dataset   777 meV per atom

***

> calculated volume of number 5 (Sm2Dy2C3)?

19.79 A^3/atom

***

> The highest spin magnetization belongs to which entry?

SrPaAu

***

> The highest spin magnetization belongs to which entry?

SrPaAu